(1)
Pm2Nd2DyTm2: optimized geometry, GGA-PBE.

As for the symmetry: No. 12. As for the total energy: -4.635 eV per atom. For the density, the calculation gives 7.78 g cm⁻³. The calculation puts the formation energy at 0.138 eV per formula unit. The calculation puts the magnetic moment at 0.0 μB per cell. The value obtained for the density of states at the Fermi level is 1.3817 states/eV per atom.

Unit cell a=6.229 b=6.229 c=8.046 alpha=97.46 beta=97.46 gamma=48.18
Fractional coordinates of all 7 atoms:
1 Pm 0.144 0.144 0.428
2 Pm 0.856 0.856 0.572
3 Nd 0.429 0.429 0.281
4 Nd 0.571 0.571 0.719
5 Dy 0.000 0.000 0.000
6 Tm 0.285 0.285 0.860
7 Tm 0.715 0.715 0.140

(2)
MgCu3Pb: optimized geometry, GGA-PBE.

As for the symmetry: No. 221. As for the total energy: -2.792 eV per atom. For the density, the calculation gives 6.79 g cm⁻³. The calculation puts the formation energy at 3.631 eV per formula unit. The energy above the most stable polymorph in this dataset is 0 meV/atom. The calculation puts the magnetic moment at 0.0 μB per cell. The value obtained for the density of states at the Fermi level is 0.4376 states/eV per atom.

Unit cell a=4.691 b=4.691 c=4.691 alpha=90.00 beta=90.00 gamma=90.00
Fractional coordinates of all 5 atoms:
1 Mg 0.000 0.000 0.000
2 Cu 0.000 0.000 0.500
3 Cu 0.000 0.500 0.000
4 Cu 0.500 0.000 0.000
5 Pb 0.500 0.500 0.500

(3)
Cs2PIrPt: optimized geometry, GGA-PBE.

As for the symmetry: No. 123. As for the total energy: -3.771 eV per atom. For the density, the calculation gives 5.28 g cm⁻³. The calculation puts the formation energy at 3.164 eV per formula unit. The calculation puts the magnetic moment at 2.2 μB per cell. The value obtained for the density of states at the Fermi level is 0.3143 states/eV per atom.

Unit cell a=7.048 b=7.048 c=4.334 alpha=90.00 beta=90.00 gamma=90.00
Fractional coordinates of all 5 atoms:
1 Cs 0.000 0.500 0.000
2 Cs 0.500 0.000 0.000
3 P 0.000 0.000 0.000
4 Ir 0.500 0.500 0.500
5 Pt 0.000 0.000 0.500

(4)
Dy3ErTh2As6: optimized geometry, GGA-PBE.

As for the symmetry: No. 12. As for the total energy: -6.585 eV per atom. For the density, the calculation gives 8.51 g cm⁻³. The calculation puts the formation energy at -17.909 eV per formula unit. The calculation puts the magnetic moment at 0.0 μB per cell. The value obtained for the density of states at the Fermi level is 0.3277 states/eV per atom.

Unit cell a=9.301 b=9.301 c=8.309 alpha=102.84 beta=102.84 gamma=25.92
Fractional coordinates of all 12 atoms:
1 Dy 0.000 0.000 0.000
2 Dy 0.334 0.334 0.666
3 Dy 0.666 0.666 0.334
4 Er 0.000 0.000 0.500
5 Th 0.335 0.335 0.170
6 Th 0.665 0.665 0.830
7 As 0.165 0.165 0.087
8 As 0.166 0.166 0.577
9 As 0.498 0.498 0.747
10 As 0.502 0.502 0.253
11 As 0.834 0.834 0.423
12 As 0.835 0.835 0.913

(5)
Ac4RhCl5: optimized geometry, GGA-PBE.

As for the symmetry: No. 71. As for the total energy: -5.042 eV per atom. For the density, the calculation gives 6.08 g cm⁻³. The calculation puts the magnetic moment at 0.3 μB per cell. Its raw formation energy is -1.74 eV/atom. The value obtained for the density of states at the Fermi level is 0.2768 states/eV per atom.

Unit cell a=10.073 b=10.073 c=10.073 alpha=156.13 beta=127.93 gamma=58.06
Fractional coordinates of all 10 atoms:
1 Ac 0.179 0.179 0.000
2 Ac 0.225 0.500 0.725
3 Ac 0.775 0.500 0.275
4 Ac 0.821 0.821 0.000
5 Rh 0.000 0.000 0.000
6 Cl 0.096 0.327 0.770
7 Cl 0.443 0.673 0.770
8 Cl 0.500 0.000 0.500
9 Cl 0.557 0.327 0.230
10 Cl 0.904 0.673 0.230

(6)
CaZr2Te: optimized geometry, GGA-PBE.

As for the symmetry: No. 99. As for the total energy: -5.901 eV per atom. For the density, the calculation gives 5.40 g cm⁻³. The calculation puts the magnetic moment at 0.0 μB per cell. Its raw formation energy is -0.34 eV/atom. The value obtained for the density of states at the Fermi level is 1.4292 states/eV per atom.

Unit cell a=3.692 b=3.692 c=7.899 alpha=90.00 beta=90.00 gamma=90.00
Fractional coordinates of all 4 atoms:
1 Ca 0.000 0.000 0.000
2 Zr 0.000 0.000 0.474
3 Zr 0.500 0.500 0.689
4 Te 0.500 0.500 0.283